<i>
A plane-wave DFT calculation with PBE was carried out for NdY4Tm4 after structural relaxation.

a = 4.997 Å, b = 7.940 Å, c = 7.940 Å
α = 84.32°, β = 71.66°, γ = 71.66°
Sites, in units of the cell vectors:
Tm: 0.667 0.000 0.666
Tm: 0.333 0.000 0.334
Tm: 0.333 0.334 0.000
Tm: 0.667 0.666 0.000
Y: 0.000 0.668 0.332
Y: 0.000 0.332 0.668
Y: 0.668 0.332 0.332
Y: 0.332 0.668 0.668
Nd: 0.000 0.000 0.000

**Space group**: No. 139
**Crystal system**: tetragonal

<ii>
A plane-wave DFT calculation with PBE was carried out for NdY4Tm4 after structural relaxation.

a = 8.816 Å, b = 10.157 Å, c = 12.377 Å
α = 66.09°, β = 96.68°, γ = 142.78°
Sites, in units of the cell vectors:
Y: 0.331 0.333 0.416
Y: 0.666 0.668 0.082
Y: 0.555 0.219 0.641
Y: 0.445 0.781 0.359
Y: 0.890 0.554 0.305
Y: 0.669 0.667 0.584
Y: 0.334 0.332 0.918
Y: 0.110 0.446 0.695
Tm: 0.225 0.888 0.973
Tm: 0.225 0.889 0.473
Tm: 0.775 0.111 0.527
Tm: 0.439 0.776 0.862
Tm: 0.110 0.446 0.192
Tm: 0.561 0.224 0.138
Tm: 0.775 0.112 0.027
Tm: 0.890 0.554 0.808
Nd: 0.004 0.003 0.249
Nd: 0.996 0.997 0.751

**Space group**: No. 2
**Crystal system**: triclinic

Least stable of them? <i>.

<i>
A plane-wave DFT calculation with PBE was carried out for Nd3Y2Tm4 after structural relaxation.

a = 6.034 Å, b = 11.229 Å, c = 11.229 Å
α = 62.59°, β = 64.01°, γ = 64.01°
Sites, in units of the cell vectors:
Tm: 0.911 0.855 0.584
Tm: 0.578 0.081 0.819
Tm: 0.422 0.919 0.181
Tm: 0.589 0.416 0.145
Tm: 0.089 0.145 0.416
Tm: 0.922 0.181 0.919
Tm: 0.411 0.584 0.855
Tm: 0.078 0.819 0.081
Y: 0.072 0.489 0.748
Y: 0.928 0.511 0.252
Y: 0.428 0.252 0.511
Y: 0.572 0.748 0.489
Nd: 0.744 0.729 0.940
Nd: 0.750 0.389 0.611
Nd: 0.244 0.940 0.729
Nd: 0.250 0.611 0.389
Nd: 0.756 0.060 0.271
Nd: 0.256 0.271 0.060

**Space group**: No. 15
**Crystal system**: monoclinic

<ii>
A plane-wave DFT calculation with PBE was carried out for Nd3Y2Tm4 after structural relaxation.

a = 5.127 Å, b = 5.990 Å, c = 11.675 Å
α = 69.64°, β = 77.32°, γ = 64.66°
Sites, in units of the cell vectors:
Tm: 0.145 0.989 0.721
Tm: 0.281 0.337 0.102
Tm: 0.855 0.011 0.279
Tm: 0.719 0.663 0.898
Nd: 0.444 0.357 0.755
Nd: 0.556 0.643 0.245
Nd: 0.000 0.000 0.000
Y: 0.166 0.248 0.421
Y: 0.834 0.752 0.579

**Space group**: No. 12
**Crystal system**: monoclinic

Least stable of them? <ii>.

<i>
A plane-wave DFT calculation with PBE was carried out for Nd2Y6Tm after structural relaxation.

a = 6.592 Å, b = 9.661 Å, c = 9.661 Å
α = 96.41°, β = 80.75°, γ = 80.75°
Sites, in units of the cell vectors:
Y: 0.994 0.725 0.348
Y: 0.506 0.652 0.275
Y: 0.227 0.458 0.060
Y: 0.310 0.777 0.956
Y: 0.690 0.223 0.044
Y: 0.773 0.542 0.940
Y: 0.190 0.044 0.223
Y: 0.494 0.348 0.725
Y: 0.810 0.956 0.777
Y: 0.006 0.275 0.652
Y: 0.727 0.060 0.458
Y: 0.273 0.940 0.542
Nd: 0.873 0.383 0.334
Nd: 0.127 0.617 0.666
Nd: 0.627 0.666 0.617
Nd: 0.373 0.334 0.383
Tm: 0.750 0.884 0.116
Tm: 0.250 0.116 0.884

**Space group**: No. 15
**Crystal system**: monoclinic

<ii>
A plane-wave DFT calculation with PBE was carried out for Nd2Y6Tm after structural relaxation.

a = 6.949 Å, b = 10.506 Å, c = 10.506 Å
α = 55.43°, β = 70.70°, γ = 70.70°
Sites, in units of the cell vectors:
Tm: 0.750 0.000 0.000
Tm: 0.250 0.000 0.000
Y: 0.674 0.662 0.990
Y: 0.656 0.013 0.674
Y: 0.826 0.010 0.338
Y: 0.010 0.321 0.660
Y: 0.510 0.660 0.321
Y: 0.490 0.340 0.679
Y: 0.344 0.987 0.326
Y: 0.156 0.674 0.013
Y: 0.326 0.338 0.010
Y: 0.174 0.990 0.662
Y: 0.990 0.679 0.340
Y: 0.844 0.326 0.987
Nd: 0.417 0.333 0.333
Nd: 0.083 0.667 0.667
Nd: 0.583 0.667 0.667
Nd: 0.917 0.333 0.333

**Space group**: No. 72
**Crystal system**: orthorhombic

Least stable of them? <i>.

<i>
A plane-wave DFT calculation with PBE was carried out for Nd7Y2Tm after structural relaxation.

a = 3.538 Å, b = 10.396 Å, c = 10.396 Å
α = 108.65°, β = 90.00°, γ = 90.00°
Sites, in units of the cell vectors:
Y: 0.500 0.166 0.834
Y: 0.500 0.834 0.166
Nd: 0.500 0.500 0.500
Nd: 0.000 0.323 0.677
Nd: 0.500 0.873 0.617
Nd: 0.500 0.383 0.127
Nd: 0.500 0.617 0.873
Nd: 0.000 0.677 0.323
Nd: 0.500 0.127 0.383
Tm: 0.000 0.000 0.000

**Space group**: No. 65
**Crystal system**: orthorhombic

<ii>
A plane-wave DFT calculation with PBE was carried out for Nd7Y2Tm after structural relaxation.

a = 5.458 Å, b = 9.748 Å, c = 9.748 Å
α = 126.93°, β = 90.00°, γ = 90.00°
Sites, in units of the cell vectors:
Y: 0.500 0.707 0.293
Y: 0.500 0.293 0.707
Nd: 0.000 0.200 0.800
Nd: 0.500 0.712 0.929
Nd: 0.000 0.800 0.200
Nd: 0.500 0.071 0.288
Nd: 0.500 0.929 0.712
Nd: 0.500 0.500 0.500
Nd: 0.500 0.288 0.071
Tm: 0.000 0.000 0.000

**Space group**: No. 65
**Crystal system**: orthorhombic

Least stable of them? <ii>.